No. 1
SmFe5P3: relaxed, PBE-GGA.

extended XYZ file:
```
18
Lattice="3.726 0.000 0.000 -1.863 5.946 0.000 0.000 0.000 10.795" Properties=species:S:1:pos:R:3 pbc="T T T"
Sm 1.863 3.860 8.096
Sm 0.000 2.086 2.699
Fe 1.863 3.688 4.721
Fe 0.000 2.259 10.119
Fe 0.000 0.000 5.398
Fe 0.000 0.000 0.000
Fe 0.000 5.467 1.505
Fe 1.863 0.479 9.290
Fe 1.863 0.479 6.903
Fe 1.863 3.688 0.677
Fe 0.000 2.259 6.074
Fe 0.000 5.467 3.892
P 0.000 4.394 10.330
P 1.863 4.686 2.699
P 0.000 4.394 5.863
P 1.863 1.552 4.932
P 0.000 1.260 8.096
P 1.863 1.552 0.465
```

Space group: Cmcm
N(E_F), states/eV per atom: 0.637
Calculated density, g/cm3: 7.26
DFT formation energy, eV per atom: -0.67



No. 2
HfPHCl2: relaxed, PBE-GGA.

extended XYZ file:
```
5
Lattice="-2.028 -0.329 -4.616 0.625 -5.013 0.083 -4.580 -0.537 2.051" Properties=species:S:1:pos:R:3 pbc="T T T"
P -2.290 -0.269 1.025
Hf 0.000 0.000 0.000
H -2.992 -2.940 -1.241
Cl 0.313 -2.507 0.041
Cl -1.014 -0.165 -2.308
```

Space group: P4/mmm
N(E_F), states/eV per atom: 0.655
Calculated density, g/cm3: 3.63
Offset from the most stable computed form, eV/atom: 0.000



No. 3
CuPdF4: relaxed, PBE-GGA.

extended XYZ file:
```
12
Lattice="4.723 0.000 0.000 0.000 5.619 0.000 0.000 0.000 5.821" Properties=species:S:1:pos:R:3 pbc="T T T"
Cu 0.000 0.000 4.940
Cu 2.361 0.000 2.030
Pd 0.000 2.809 0.866
Pd 2.361 2.809 3.777
F 1.122 4.801 0.654
F 1.116 1.864 5.173
F 1.245 1.864 2.263
F 1.239 4.801 3.564
F 3.478 3.754 2.263
F 3.484 0.817 3.564
F 3.600 0.817 0.654
F 3.607 3.754 5.173
```

Space group: Pnc2
Energy relative to the elements, uncorrected, eV/f.u.: -7.71
N(E_F), states/eV per atom: 0.462
Calculated density, g/cm3: 5.29



No. 4
MgB2P: relaxed, PBE-GGA.

extended XYZ file:
```
8
Lattice="-0.294 -4.163 0.072 0.822 0.004 3.570 -6.364 2.562 1.462" Properties=species:S:1:pos:R:3 pbc="T T T"
P -6.460 -0.444 1.488
P -3.456 1.413 2.674
Mg -3.882 -0.671 0.894
Mg 0.213 -0.895 1.832
B -1.522 -1.638 0.352
B -2.204 -2.839 1.457
B -1.797 -2.837 3.229
B -1.402 0.011 0.323
```

Space group: Pm
N(E_F), states/eV per atom: 0.113
Calculated density, g/cm3: 2.49
Offset from the most stable computed form, eV/atom: 0.116
DFT formation energy, eV per atom: 0.02



No. 5
Y2SiB: relaxed, PBE-GGA.

extended XYZ file:
```
4
Lattice="-1.394 -4.578 0.523 -3.688 -1.077 2.900 -4.184 -1.471 -1.871" Properties=species:S:1:pos:R:3 pbc="T T T"
Y -2.316 -1.781 0.388
Y -6.949 -5.344 1.164
Si -4.633 -3.563 0.776
B 0.000 0.000 0.000
```

Space group: Fm-3m
Energy relative to the elements, uncorrected, eV/f.u.: -0.02
N(E_F), states/eV per atom: 0.568
Calculated density, g/cm3: 4.56
Offset from the most stable computed form, eV/atom: 0.000



No. 6
CrSBrCl2: relaxed, PBE-GGA.

extended XYZ file:
```
5
Lattice="4.648 0.000 0.000 0.000 4.648 0.000 0.000 0.000 4.563" Properties=species:S:1:pos:R:3 pbc="T T T"
Cr 0.000 0.000 0.000
S 0.000 0.000 2.282
Br 2.324 2.324 2.282
Cl 0.000 2.324 0.000
Cl 2.324 0.000 0.000
```

Space group: P4/mmm
Energy relative to the elements, uncorrected, eV/f.u.: -0.12
N(E_F), states/eV per atom: 0.940
Calculated density, g/cm3: 3.96
Offset from the most stable computed form, eV/atom: 0.000



No. 7
Eu3B2O6F3: relaxed, PBE-GGA.

extended XYZ file:
```
28
Lattice="7.364 0.049 0.023 4.561 5.781 0.023 0.885 0.433 8.303" Properties=species:S:1:pos:R:3 pbc="T T T"
Eu 3.045 0.763 6.822
Eu 9.764 5.500 1.528
Eu 10.780 4.545 5.679
Eu 2.030 1.718 2.671
Eu 6.894 2.692 6.251
Eu 5.916 3.571 2.099
B 4.522 1.560 4.359
B 8.288 4.703 3.991
B 9.243 3.869 8.142
B 3.566 2.394 0.208
O 7.987 4.701 5.332
O 4.823 1.562 3.018
O 4.637 3.063 7.169
O 8.173 3.200 1.180
O 9.712 5.122 7.747
O 3.098 1.141 0.603
O 3.245 1.961 4.754
O 9.564 4.302 3.596
O 5.343 1.029 5.327
O 7.467 5.234 3.023
O 9.158 2.895 7.175
O 3.651 3.368 1.175
F 7.954 0.524 6.251
F 4.856 5.739 2.099
F 5.312 3.859 4.501
F 7.498 2.404 3.849
F 6.944 4.657 8.001
F 5.865 1.606 0.349
```

Space group: C2/c
Energy relative to the elements, uncorrected, eV/f.u.: -40.80
N(E_F), states/eV per atom: 2.315
Calculated density, g/cm3: 5.96



No. 8
TbYHo2P4: relaxed, PBE-GGA.

extended XYZ file:
```
8
Lattice="4.005 0.000 0.000 0.000 6.933 0.121 0.000 -2.425 6.496" Properties=species:S:1:pos:R:3 pbc="T T T"
Tb 2.003 3.467 0.061
Y 0.000 0.000 0.000
Ho 2.003 -1.212 3.248
Ho 0.000 2.254 3.309
P 2.003 1.125 1.668
P 2.003 3.384 4.950
P 0.000 -0.087 4.887
P 0.000 4.595 1.731
```

Space group: P2/m
N(E_F), states/eV per atom: 0.112
Calculated density, g/cm3: 6.42
DFT formation energy, eV per atom: -1.62



No. 9
NaPrEuZn: relaxed, PBE-GGA.

extended XYZ file:
```
4
Lattice="5.523 0.000 0.000 2.762 4.783 0.000 2.762 1.594 4.510" Properties=species:S:1:pos:R:3 pbc="T T T"
Eu 2.762 1.594 1.127
Pr 8.285 4.783 3.382
Zn 0.000 0.000 0.000
Na 5.523 3.189 2.255
```

Space group: F-43m
N(E_F), states/eV per atom: 2.267
Calculated density, g/cm3: 5.31
DFT formation energy, eV per atom: 0.04



No. 10
Sm2URu3: relaxed, PBE-GGA.

extended XYZ file:
```
6
Lattice="-2.402 -2.520 1.976 -1.278 -5.140 -4.053 3.007 -4.910 1.449" Properties=species:S:1:pos:R:3 pbc="T T T"
Sm 0.434 -5.591 1.507
Sm -0.875 -6.972 -1.845
U -0.897 -3.281 -1.220
Ru -0.391 -8.917 0.317
Ru -1.837 -3.710 1.144
Ru 1.547 -9.237 -1.788
```

Space group: Cm
N(E_F), states/eV per atom: 0.807
Calculated density, g/cm3: 10.38
DFT formation energy, eV per atom: -0.23



No. 11
MgMoPt: relaxed, PBE-GGA.

extended XYZ file:
```
6
Lattice="-0.141 -1.557 -2.291 -0.526 -4.131 2.852 -6.729 2.677 1.971" Properties=species:S:1:pos:R:3 pbc="T T T"
Mg -0.987 -2.757 1.976
Mg -3.370 -2.371 0.177
Mo -3.185 0.440 -0.072
Mo -5.489 -0.251 0.561
Pt -5.602 -1.556 3.138
Pt -1.031 -1.377 -0.649
```

Space group: P1
N(E_F), states/eV per atom: 0.609
Calculated density, g/cm3: 10.75
Offset from the most stable computed form, eV/atom: 0.091
DFT formation energy, eV per atom: -0.25



No. 12
U3Sb: relaxed, PBE-GGA.

extended XYZ file:
```
4
Lattice="-1.201 -1.518 4.013 2.089 -3.847 -0.830 3.254 4.318 0.134" Properties=species:S:1:pos:R:3 pbc="T T T"
Sb 0.000 0.000 0.000
U 1.248 0.058 2.869
U 2.893 -1.106 0.448
U 0.444 -2.683 1.591
```

Space group: I4/mmm
Energy relative to the elements, uncorrected, eV/f.u.: -0.10
N(E_F), states/eV per atom: 2.685
Calculated density, g/cm3: 15.91
Offset from the most stable computed form, eV/atom: 0.058



No. 13
KLiYV2: relaxed, PBE-GGA.

extended XYZ file:
```
5
Lattice="-4.673 -0.601 0.433 0.613 -1.054 5.156 -0.498 4.597 0.999" Properties=species:S:1:pos:R:3 pbc="T T T"
Y 0.307 -0.527 2.578
K 0.000 0.000 0.000
Li -2.279 1.471 3.294
V -0.249 2.299 0.500
V -2.336 -0.300 0.216
```

Space group: P4/mmm
N(E_F), states/eV per atom: 1.324
Calculated density, g/cm3: 3.32
DFT formation energy, eV per atom: 2.05



No. 14
Fe2WI: relaxed, PBE-GGA.

extended XYZ file:
```
8
Lattice="5.645 0.000 0.000 0.000 5.645 0.000 2.822 2.822 5.296" Properties=species:S:1:pos:R:3 pbc="T T T"
I 2.822 2.822 0.000
I 2.822 5.645 2.648
Fe 4.377 1.411 1.324
Fe 1.268 4.234 1.324
Fe 4.234 4.091 3.972
Fe 7.056 7.199 3.972
W 0.000 0.000 0.000
W 5.645 2.822 2.648
```

Space group: I-42d
Energy relative to the elements, uncorrected, eV/f.u.: 4.96
N(E_F), states/eV per atom: 0.726
Calculated density, g/cm3: 8.31
Offset from the most stable computed form, eV/atom: 0.091



No. 15
Cs4Cu3F10: relaxed, PBE-GGA.

extended XYZ file:
```
17
Lattice="6.301 0.000 0.000 -3.150 7.118 0.006 0.000 -3.666 7.209" Properties=species:S:1:pos:R:3 pbc="T T T"
Cs 3.150 1.840 5.177
Cs 0.000 1.613 2.037
Cs 0.000 5.841 1.550
Cs 3.150 -2.388 5.665
Cu 0.000 -0.190 5.906
Cu 3.150 3.642 1.309
Cu 0.000 -1.833 3.604
F 1.335 -0.509 4.066
F 3.150 1.745 1.569
F 3.150 5.589 1.207
F 1.816 3.962 3.149
F 0.000 -2.136 6.008
F -1.816 3.962 3.149
F 4.966 -0.509 4.066
F 1.575 3.559 0.003
F -1.575 3.559 0.003
F 0.000 1.708 5.646
```

Space group: C2/m
Energy relative to the elements, uncorrected, eV/f.u.: -36.62
N(E_F), states/eV per atom: 0.070
Calculated density, g/cm3: 4.68



No. 16
CePu3Ir2: relaxed, PBE-GGA.

extended XYZ file:
```
12
Lattice="4.186 0.000 0.000 0.000 7.826 0.000 0.000 0.000 8.034" Properties=species:S:1:pos:R:3 pbc="T T T"
Ce 2.093 4.365 4.578
Ce 2.093 0.452 3.456
Pu 0.000 3.464 7.474
Pu 0.000 7.377 0.560
Pu 2.093 4.700 1.784
Pu 2.093 0.787 6.250
Pu 0.000 3.138 2.126
Pu 0.000 7.051 5.908
Ir 2.093 5.500 7.099
Ir 2.093 1.587 0.935
Ir 0.000 2.312 4.937
Ir 0.000 6.225 3.098
```

Space group: Pmc2_1
N(E_F), states/eV per atom: 2.838
Calculated density, g/cm3: 15.85
Offset from the most stable computed form, eV/atom: 0.000
DFT formation energy, eV per atom: -0.39



No. 17
NdHoTmTl: relaxed, PBE-GGA.

extended XYZ file:
```
4
Lattice="-4.353 -1.972 1.168 0.396 -3.066 -3.701 2.241 -3.224 2.910" Properties=species:S:1:pos:R:3 pbc="T T T"
Nd -1.056 -2.598 2.039
Ho -1.979 -2.519 -1.266
Tm 1.318 -3.145 -0.396
Tl 0.000 0.000 0.000
```

Space group: Pmmm
N(E_F), states/eV per atom: 1.415
Calculated density, g/cm3: 9.77
Offset from the most stable computed form, eV/atom: 0.000
DFT formation energy, eV per atom: -0.18



No. 18
Pr5ErAs6: relaxed, PBE-GGA.

extended XYZ file:
```
12
Lattice="-4.208 3.966 -4.621 -5.877 -4.010 -2.049 -6.245 0.294 3.961" Properties=species:S:1:pos:R:3 pbc="T T T"
Pr -7.238 1.504 -0.026
Pr -4.038 -1.241 0.633
Pr -5.042 -0.022 -3.335
Pr -8.085 -2.475 1.279
Pr -9.093 -1.254 -2.683
As -5.694 2.764 -2.363
As -6.549 -1.307 -1.053
As -2.470 -0.002 -1.638
As -7.615 -0.043 -5.032
As -9.781 1.558 -1.655
As -10.637 -2.513 -0.345
Er 0.000 0.000 0.000
```

Space group: C2/m
N(E_F), states/eV per atom: 0.088
Calculated density, g/cm3: 6.63
DFT formation energy, eV per atom: -1.49



No. 19
NaMgAs2: relaxed, PBE-GGA.

extended XYZ file:
```
8
Lattice="4.970 0.000 0.000 0.000 4.970 0.000 2.485 2.485 8.621" Properties=species:S:1:pos:R:3 pbc="T T T"
Na 2.485 2.485 0.000
Na 2.485 4.970 4.310
As 4.310 1.243 2.155
As 0.660 3.728 2.155
As 3.728 3.145 6.465
As 6.213 6.796 6.465
Mg 0.000 0.000 0.000
Mg 4.970 2.485 4.310
```

Space group: I-42d
N(E_F), states/eV per atom: 0.183
Calculated density, g/cm3: 3.07
DFT formation energy, eV per atom: -0.21



No. 20
Re3SiAu: relaxed, PBE-GGA.

extended XYZ file:
```
5
Lattice="-1.020 2.083 -3.752 -4.278 -0.195 1.055 0.332 3.883 2.066" Properties=species:S:1:pos:R:3 pbc="T T T"
Re -2.139 -0.098 0.527
Re 0.166 1.941 1.033
Re -0.510 1.042 -1.876
Si 0.000 0.000 0.000
Au -2.483 2.885 -0.315
```

Space group: Pm-3m
Energy relative to the elements, uncorrected, eV/f.u.: 6.58
N(E_F), states/eV per atom: 0.699
Calculated density, g/cm3: 15.17
Offset from the most stable computed form, eV/atom: 0.000